TaTe2: optimized geometry, GGA-PBE.

Values from the calculation:
- calculated volume (A^3/atom) = 24.2
- formation energy from raw total energies (eV per atom) = 0.02
- SG = Pnma (62)
- total energy (eV per cell) = -72.36

a b c (Å): 7.8653 3.7622 9.8144
angles (deg): 90.00 90.00 90.00
Last column: nearest neighbours and their distance in Å.
Sites, in units of the cell vectors:
Ta: 0.2494 0.2500 0.0955  7 Te 2.85-3.12
Ta: 0.2506 0.7500 0.5955  7 Te 2.85-3.12
Ta: 0.7494 0.2500 0.4045  7 Te 2.85-3.12
Ta: 0.7506 0.7500 0.9045  7 Te 2.85-3.12
Te: 0.0178 0.2500 0.8613  3 Ta 2.85-2.93
Te: 0.1268 0.2500 0.3979  4 Ta 2.87-3.12
Te: 0.3732 0.7500 0.8979  4 Ta 2.87-3.12
Te: 0.4822 0.7500 0.3613  3 Ta 2.85-2.93
Te: 0.5178 0.2500 0.6387  3 Ta 2.85-2.93
Te: 0.6268 0.2500 0.1021  4 Ta 2.87-3.12
Te: 0.8732 0.7500 0.6021  4 Ta 2.87-3.12
Te: 0.9822 0.7500 0.1387  3 Ta 2.85-2.93